Nd2MgNi4Sb3 (PBE, relaxed); calculated volume = 19.6 Å³/atom; formation energy without anion corrections = -0.63 eV/atom; total magnetization = 0.00 μB per cell
1.0
4.348 0.000 0.000
0.000 4.348 0.000
0.000 0.000 10.355
Ni Sb Nd Mg
4 3 2 1
Direct
0.000 0.000 0.000
0.000 0.500 0.369
0.500 0.500 0.000
0.500 0.000 0.631
0.000 0.500 0.130
0.000 0.000 0.500
0.500 0.000 0.870
0.000 0.500 0.763
0.500 0.000 0.237
0.500 0.500 0.500